[1]
First-principles (PBEsol) data for a geometry-optimized Li2CrRe structure, as listed in Alexandria.

Summary:
**DFT formation energy**: 1.9 eV/f.u.
**Distance to the lowest polymorph of the same formula**: 51 meV per atom
**Space group**: No. 123

Unit cell a=3.3734 b=3.3734 c=4.5336 alpha=90.00 beta=90.00 gamma=90.00
Positions (direct):
Cr 0.0000 0.0000 0.5000
Li 0.0000 0.5000 0.0000
Li 0.5000 0.0000 0.0000
Re 0.5000 0.5000 0.5000



[2]
First-principles (PBEsol) data for a geometry-optimized Al2Co2Ag structure, as listed in Alexandria.

Summary:
**DFT formation energy**: 0.6 eV/f.u.
**Distance to the lowest polymorph of the same formula**: 333 meV per atom
**Space group**: No. 139

Unit cell a=3.2950 b=3.2950 c=6.9862 alpha=103.64 beta=103.64 gamma=90.00
Positions (direct):
Co 0.2500 0.7500 0.5000
Co 0.7500 0.2500 0.5000
Al 0.6116 0.6116 0.2232
Al 0.3884 0.3884 0.7768
Ag 0.0000 0.0000 0.0000



[3]
First-principles (PBEsol) data for a geometry-optimized Y2HgO structure, as listed in Alexandria.

Summary:
**Uncorrected formation energy**: -1.656 eV/atom
**Space group**: No. 122

Unit cell a=6.1676 b=6.1676 c=6.1676 alpha=100.00 beta=114.41 gamma=114.41
Positions (direct):
Y 0.9055 0.5305 0.1250
Y 0.0945 0.2195 0.6250
Y 0.5945 0.3750 0.4695
Y 0.4055 0.8750 0.7805
Hg 0.0000 0.0000 0.0000
Hg 0.5000 0.7500 0.2500
O 0.0000 0.5000 0.5000
O 0.5000 0.2500 0.7500



[4]
First-principles (PBEsol) data for a geometry-optimized Zr2TlSbN structure, as listed in Alexandria.

Summary:
**Uncorrected formation energy**: 1.105 eV/atom
**Space group**: No. 123

Unit cell a=4.0613 b=5.3832 c=5.3832 alpha=90.00 beta=90.00 gamma=90.00
Positions (direct):
Sb 0.5000 0.5000 0.5000
Tl 0.0000 0.0000 0.0000
Zr 0.0000 0.0000 0.5000
Zr 0.0000 0.5000 0.0000
N 0.5000 0.0000 0.0000



[5]
First-principles (PBEsol) data for a geometry-optimized LiMg3 structure, as listed in Alexandria.

Summary:
**DFT formation energy**: -0.1 eV/f.u.
**Space group**: No. 221

Unit cell a=4.4013 b=4.4013 c=4.4013 alpha=90.00 beta=90.00 gamma=90.00
Positions (direct):
Mg 0.0000 0.5000 0.5000
Mg 0.5000 0.0000 0.5000
Mg 0.5000 0.5000 0.0000
Li 0.0000 0.0000 0.0000



[6]
First-principles (PBEsol) data for a geometry-optimized ZnCdSe2Br structure, as listed in Alexandria.

Summary:
**Uncorrected formation energy**: 0.456 eV/atom
**Space group**: No. 123

Unit cell a=5.1801 b=5.1801 c=5.2265 alpha=90.00 beta=90.00 gamma=90.00
Positions (direct):
Zn 0.5000 0.5000 0.5000
Se 0.0000 0.5000 0.0000
Se 0.5000 0.0000 0.0000
Br 0.0000 0.0000 0.5000
Cd 0.0000 0.0000 0.0000



[7]
First-principles (PBEsol) data for a geometry-optimized Na3CoSiBO7 structure, as listed in Alexandria.

Summary:
**Uncorrected formation energy**: -1.942 eV/atom
**Space group**: No. 11

Unit cell a=5.1748 b=6.2489 c=8.8822 alpha=90.00 beta=92.78 gamma=90.00
Positions (direct):
Na 0.7688 0.7500 0.9191
Na 0.2508 0.9893 0.7343
Na 0.2508 0.5107 0.7343
Na 0.7492 0.4893 0.2657
Na 0.7492 0.0107 0.2657
Na 0.2312 0.2500 0.0809
Co 0.7831 0.2500 0.6694
Co 0.2169 0.7500 0.3306
Si 0.7221 0.7500 0.5685
Si 0.2779 0.2500 0.4315
B 0.7234 0.2500 0.9294
B 0.2766 0.7500 0.0706
O 0.3110 0.7500 0.9228
O 0.9619 0.2500 0.8619
O 0.5289 0.2500 0.8145
O 0.7821 0.9516 0.6851
O 0.7821 0.5484 0.6851
O 0.4124 0.7500 0.5157
O 0.0965 0.2500 0.5740
O 0.9035 0.7500 0.4260
O 0.5876 0.2500 0.4843
O 0.2179 0.4516 0.3149
O 0.2179 0.0484 0.3149
O 0.4711 0.7500 0.1855
O 0.0381 0.7500 0.1381
O 0.6890 0.2500 0.0772



[8]
First-principles (PBEsol) data for a geometry-optimized Al2AgBr structure, as listed in Alexandria.

Summary:
**Distance to the lowest polymorph of the same formula**: 143 meV per atom
**Uncorrected formation energy**: 0.303 eV/atom
**Space group**: No. 225

Unit cell a=4.8906 b=4.8906 c=4.8906 alpha=60.00 beta=60.00 gamma=60.00
Positions (direct):
Ag 0.0000 0.0000 0.0000
Br 0.5000 0.5000 0.5000
Al 0.2500 0.2500 0.2500
Al 0.7500 0.7500 0.7500



The evaluated magnetization for the records listed, in turn: 0.000, 0.482, 0.000, 0.000, 0.000, 0.000, 0.077, 0.000 μB/atom.
The evaluated DOS at the Fermi energy for the records listed, in turn: 0.57, 0.90, 0.14, 0.45, 0.47, 0.98, 0.37, 0.19 states/eV per atom.